## Ba6Te3As2Cl (PBE)

Data for a relaxed Ba6Te3As2Cl crystal.

Cell: 10.952 10.952 9.855 Å, 102.96 102.96 25.46°
Sites, in units of the cell vectors:
Ba 0.007 0.007 0.254
Ba 0.328 0.328 0.425
Ba 0.330 0.330 0.903
Ba 0.670 0.670 0.097
Ba 0.672 0.672 0.575
Ba 0.993 0.993 0.746
Te 0.162 0.162 0.835
Te 0.500 0.500 0.500
Te 0.838 0.838 0.165
As 0.164 0.164 0.328
As 0.836 0.836 0.672
Cl 0.500 0.500 0.000

Output
VASP energy, eV per atom: -4.235
Energy relative to the elements, uncorrected, eV/atom: -1.56
Symmetry: No. 12
Volume, A^3/atom: 41.211
Crystal system: monoclinic